Record 1
4
Lattice="0.000 3.179 3.179 3.179 0.000 3.179 3.179 3.179 0.000" Properties=species:S:1:pos:R:3 comment="LuMnNiIr, optimized geometry, DFT GGA-PBE" e_form_mev_per_atom=-357 pbc="T T T"
Lu 0.000 0.000 0.000
Mn 3.179 3.179 3.179
Ni 4.768 4.768 4.768
Ir 1.589 1.589 1.589

***

Record 2
4
Lattice="2.077 1.199 10.808 -2.077 1.199 10.808 0.000 -2.399 10.808" Properties=species:S:1:pos:R:3 comment="NaEu2P, optimized geometry, DFT GGA-PBE" e_form_mev_per_atom=-578 pbc="T T T"
Na 0.000 0.000 0.000
Eu 0.000 0.000 3.805
Eu 0.000 0.000 28.620
P 0.000 0.000 16.213

***

Record 3
8
Lattice="-1.891 1.891 9.614 1.891 -1.891 9.614 1.891 1.891 -9.614" Properties=species:S:1:pos:R:3 comment="TiAsW2, optimized geometry, DFT GGA-PBE" e_form_mev_per_atom=393 pbc="T T T"
Ti 0.000 0.000 0.000
Ti 0.000 1.891 4.807
As 1.891 0.000 4.807
As 0.000 0.000 9.614
W 0.945 -0.927 7.211
W 0.964 0.945 2.404
W 0.945 2.818 -2.404
W 0.927 0.945 12.018

***

Record 4
18
Lattice="0.000 5.634 5.634 5.634 0.000 5.634 5.634 5.634 0.000" Properties=species:S:1:pos:R:3 comment="ThCu2Pt6, optimized geometry, DFT GGA-PBE" e_form_mev_per_atom=-205 pbc="T T T"
Th 1.408 1.408 1.408
Th 9.859 9.859 9.859
Cu 5.634 2.817 2.817
Cu 2.817 5.634 2.817
Cu 2.817 2.817 5.634
Cu 5.634 5.634 5.634
Pt 4.225 4.225 1.348
Pt 4.225 1.348 4.225
Pt 7.103 4.225 4.225
Pt 7.042 7.042 4.164
Pt 7.042 4.164 7.042
Pt 9.920 7.042 7.042
Pt 1.348 4.225 4.225
Pt 4.225 7.103 4.225
Pt 4.225 4.225 7.103
Pt 4.164 7.042 7.042
Pt 7.042 9.920 7.042
Pt 7.042 7.042 9.920

***

Record 5
80
Lattice="-9.584 9.584 9.584 9.584 -9.584 9.584 9.584 9.584 -9.584" Properties=species:S:1:pos:R:3 comment="Ac5Nd12Pb3, optimized geometry, DFT GGA-PBE" e_form_mev_per_atom=626 pbc="T T T"
Ac 0.000 0.000 0.000
Ac 4.792 4.792 -4.792
Ac 4.792 -4.792 4.792
Ac 9.584 0.000 0.000
Ac 14.376 2.396 0.000
Ac 9.584 -4.792 7.188
Ac 7.188 9.584 -4.792
Ac 7.188 0.000 4.792
Ac 4.792 7.188 0.000
Ac 9.584 4.792 2.396
Ac -4.792 4.792 4.792
Ac 0.000 9.584 0.000
Ac 0.000 0.000 9.584
Ac 4.792 4.792 4.792
Ac 0.000 4.792 7.188
Ac 4.792 2.396 9.584
Ac 2.396 9.584 4.792
Ac 2.396 0.000 14.376
Ac 0.000 14.376 2.396
Ac -4.792 7.188 9.584
Nd 9.503 -1.621 2.930
Nd 14.457 -1.862 3.171
Nd 2.930 -0.081 1.621
Nd 11.446 6.413 -4.873
Nd 12.514 0.081 1.621
Nd 11.446 -3.171 4.873
Nd 1.621 2.930 -0.081
Nd 12.755 4.711 -1.862
Nd 6.413 4.873 -1.862
Nd 7.963 2.930 0.081
Nd -0.081 1.621 2.930
Nd 4.873 -1.862 6.413
Nd 9.503 7.963 -2.930
Nd 4.873 1.862 3.171
Nd 7.963 -2.930 9.503
Nd 6.413 -4.873 11.446
Nd 3.171 4.873 1.862
Nd 11.205 6.654 0.081
Nd 2.930 9.503 -1.621
Nd 11.446 3.171 4.711
Nd 1.862 3.171 4.873
Nd 2.930 0.081 7.963
Nd 4.873 11.446 -3.171
Nd 9.503 1.621 6.654
Nd 0.081 7.963 2.930
Nd 4.711 -1.862 12.755
Nd 6.654 9.503 1.621
Nd 7.722 6.413 4.711
Nd -1.862 6.413 4.873
Nd 6.654 0.081 11.205
Nd -1.621 2.930 9.503
Nd 6.413 4.711 7.722
Nd 3.171 14.457 -1.862
Nd 1.621 12.514 0.081
Nd 4.711 7.722 6.413
Nd 0.081 1.621 12.514
Nd 4.711 11.446 3.171
Nd 9.665 7.963 6.654
Nd 1.621 6.654 9.503
Nd 3.171 4.711 11.446
Nd -3.171 4.873 11.446
Nd 7.963 6.654 9.665
Nd -1.862 12.755 4.711
Nd -2.930 9.503 7.963
Nd -1.862 3.171 14.457
Nd 6.654 9.665 7.963
Nd -4.873 11.446 6.413
Nd 0.081 11.205 6.654
Pb 4.792 2.396 0.000
Pb 9.584 4.792 -2.396
Pb 2.396 0.000 4.792
Pb 11.980 0.000 4.792
Pb 0.000 4.792 2.396
Pb 4.792 -2.396 9.584
Pb 4.792 11.980 0.000
Pb 9.584 4.792 7.188
Pb -2.396 9.584 4.792
Pb 7.188 9.584 4.792
Pb 0.000 4.792 11.980
Pb 4.792 7.188 9.584

***

Record 6
15
Lattice="6.685 -6.408 0.000 6.685 6.408 0.000 -3.352 0.000 5.902" Properties=species:S:1:pos:R:3 comment="Pr3Nd8In4, optimized geometry, DFT GGA-PBE" e_form_mev_per_atom=15 pbc="T T T"
Pr 0.000 0.000 0.000
Pr 1.667 3.204 2.951
Pr 1.667 -3.204 2.951
Nd 0.053 0.000 5.856
Nd 6.685 3.093 0.000
Nd 5.009 3.027 2.951
Nd 1.868 0.000 3.092
Nd 8.150 0.000 2.810
Nd 5.009 -3.027 2.951
Nd 6.685 -3.093 0.000
Nd 9.965 0.000 0.047
In -1.676 0.000 2.951
In 3.342 3.204 0.000
In 3.342 -3.204 0.000
In 6.685 0.000 0.000